GGA-PBE Ta2PAu, relaxed; V = 16.6 Å³ per atom; energy of formation from the pure elements = -0.130 eV/atom
1.0
-1.585 2.262 4.625
1.585 -2.262 4.625
1.585 2.262 -4.625
Ta P Au
2 1 1
Direct
0.255 0.755 0.500
0.963 0.963 0.000
0.755 0.255 0.500
0.526 0.526 0.000

GGA-PBE Tb5Dy2Y5, relaxed; V = 31.9 Å³ per atom; energy of formation from the pure elements = 0.019 eV/atom
1.0
-3.122 2.248 3.254
0.798 -7.629 2.135
8.348 6.787 3.320
Tb Y Dy
5 5 2
Direct
0.418 0.835 0.750
0.333 0.666 0.000
0.667 0.334 0.000
0.582 0.165 0.250
0.500 0.000 0.500
0.834 0.668 0.500
0.750 0.499 0.750
0.000 0.000 0.000
0.250 0.501 0.250
0.166 0.332 0.500
0.083 0.167 0.751
0.917 0.833 0.249

GGA-PBE ZrPt2C, relaxed; V = 18.6 Å³ per atom; energy of formation from the pure elements = 0.015 eV/atom
1.0
5.428 0.000 0.000
0.000 5.428 0.000
2.714 2.714 5.038
Pt Zr C
4 2 2
Direct
0.375 0.477 0.750
0.227 0.625 0.250
0.875 0.773 0.750
0.523 0.125 0.250
0.000 0.000 0.000
0.750 0.250 0.500
0.500 0.500 0.000
0.250 0.750 0.500

GGA-PBE NiAgSe2, relaxed; uncorrected formation energy = -0.136 eV/atom; V = 19.7 Å³ per atom; energy above the lowest structure with this stoichiometry = 10.8 meV per atom
1.0
-1.798 2.506 1.800
1.791 -2.531 1.771
5.820 4.147 0.040
Ni Ag Se
1 1 2
Direct
0.000 0.000 0.992
0.333 0.667 0.461
0.667 0.333 0.182
0.333 0.667 0.821

GGA-PBE NaLaHfO4, relaxed; uncorrected formation energy = -3.014 eV/atom; V = 14.8 Å³ per atom
1.0
5.777 0.000 0.000
0.000 5.815 0.000
-2.888 0.000 6.188
O Hf La Na
8 2 2 2
Direct
0.416 0.750 0.832
0.000 0.500 0.500
0.500 0.500 0.500
0.074 0.750 0.148
0.000 0.000 0.500
0.926 0.250 0.852
0.500 0.000 0.500
0.584 0.250 0.168
0.743 0.250 0.486
0.257 0.750 0.514
0.104 0.250 0.208
0.896 0.750 0.792
0.597 0.750 0.195
0.403 0.250 0.805

GGA-PBE Pr3Zn4Sn2, relaxed; V = 24.5 Å³ per atom; energy of formation from the pure elements = -0.533 eV/atom
1.0
-1.435 -1.212 -4.208
5.521 -2.338 1.314
-6.069 -5.363 3.616
Zn Pr Sn
4 3 2
Direct
0.743 0.486 0.062
0.026 0.052 0.371
0.257 0.514 0.938
0.974 0.948 0.629
0.000 0.000 0.000
0.331 0.663 0.332
0.669 0.337 0.668
0.613 0.226 0.277
0.387 0.774 0.723

GGA-PBE AlAg2Se, relaxed; uncorrected formation energy = 0.042 eV/atom; V = 19.3 Å³ per atom; energy above the lowest structure with this stoichiometry = 105.5 meV per atom
1.0
3.736 0.000 0.000
0.000 3.736 0.000
0.000 0.000 5.528
Ag Al Se
2 1 1
Direct
0.000 0.000 0.008
0.000 0.000 0.492
0.500 0.500 0.250
0.500 0.500 0.750

GGA-PBE SrBePt3, relaxed; V = 27.1 Å³ per atom; energy of formation from the pure elements = -0.051 eV/atom; energy above the lowest structure with this stoichiometry = 693.0 meV per atom
1.0
3.105 0.000 5.406
-1.552 2.689 5.406
-1.552 -2.689 5.406
Pt Sr Be
3 1 1
Direct
0.820 0.820 0.331
0.820 0.331 0.820
0.331 0.820 0.820
0.825 0.825 0.825
0.080 0.080 0.080